Computed, not measured: crystalline CaHf3S at its relaxed geometry at the PBE level of DFT.

**Energy relative to the lowest polymorph listed for this composition**: 0 meV/atom
**Energy relative to the elements, uncorrected**: -0.290 eV/atom

a = 4.9029 Å, b = 4.9029 Å, c = 4.9029 Å
α = 90.00°, β = 90.00°, γ = 90.00°
Closest atoms and distances in Å follow each position.
Space group Pm-3m (No. 221)
One atom of each set of equivalent atoms:
Ca 0.0000 0.0000 0.0000  12 Hf 3.47
Hf 0.0000 0.5000 0.5000  2 S 2.45
S 0.5000 0.5000 0.5000  6 Hf 2.45